1.
The following is a DFT calculation (PBE) of a relaxed structure of NbCoRe2Ge.

Unit cell a=4.4868 b=4.4868 c=4.6631 alpha=90.00 beta=90.00 gamma=90.00
Closest atoms and distances in Å follow each position.
Space group P4/mmm (No. 123)
Asymmetric unit:
Nb: 0.0000 0.0000 0.0000 (multiplicity 1)  2 Ge 2.33
Co: 0.5000 0.5000 0.0000 (multiplicity 1)  4 Nb 3.17, 8 Re 3.24
Re: 0.0000 0.5000 0.5000 (multiplicity 2)  2 Ge 2.24
Ge: 0.0000 0.0000 0.5000 (multiplicity 1)  4 Re 2.24, 2 Nb 2.33

Its total energy is -7.561 eV/atom.

2.
The following is a DFT calculation (PBE) of a relaxed structure of LiCa2Br.

Unit cell a=3.9405 b=5.9338 c=5.9101 alpha=90.00 beta=90.19 gamma=90.00
Closest atoms and distances in Å follow each position.
Space group Pm (No. 6)
Asymmetric unit:
Li: 0.0000 0.0000 0.0000 (multiplicity 1)  8 Ca 3.54-3.56, 2 Li 3.94
Ca: 0.4992 0.5000 0.9978 (multiplicity 1)  2 Br 2.95-2.96
Ca: 0.5005 0.0000 0.5004 (multiplicity 1)  2 Br 2.97
Br: 0.5026 0.5000 0.4976 (multiplicity 1)  4 Ca 2.95-2.97

Its total energy is -2.440 eV/atom. The calculation puts the energy relative to the lowest polymorph listed for this composition at 94 meV per atom.

3.
The following is a DFT calculation (PBE) of a relaxed structure of Ca2Cu2GePd5.

Unit cell a=9.5632 b=9.5632 c=3.7583 alpha=90.00 beta=90.00 gamma=90.00
Closest atoms and distances in Å follow each position.
Space group P4/mbm (No. 127)
Asymmetric unit:
Ca: 0.1730 0.3270 0.0000 (multiplicity 4)  3 Cu 2.71-2.90, 2 Pd 3.00
Cu: 0.1267 0.6267 0.0000 (multiplicity 4)  6 Pd 2.54-2.57, 1 Ca 2.71
Ge: 0.0000 0.0000 0.0000 (multiplicity 2)  8 Pd 2.75
Pd: 0.0000 0.5000 0.5000 (multiplicity 2)  4 Cu 2.54
Pd: 0.0644 0.7997 0.5000 (multiplicity 8)  2 Cu 2.57, 2 Ge 2.75, 2 Pd 2.85

Its total energy is -4.785 eV/atom.

4.
The following is a DFT calculation (PBE) of a relaxed structure of VGaBrN2.

Unit cell a=3.9827 b=3.9827 c=4.8640 alpha=90.00 beta=90.00 gamma=90.00
Closest atoms and distances in Å follow each position.
Space group P4/mmm (No. 123)
Asymmetric unit:
V: 0.0000 0.0000 0.0000 (multiplicity 1)  4 Ga 2.82, 8 N 3.14
Ga: 0.5000 0.5000 0.0000 (multiplicity 1)  2 Br 2.43
Br: 0.5000 0.5000 0.5000 (multiplicity 1)  4 N 1.99
N: 0.0000 0.5000 0.5000 (multiplicity 2)  2 Br 1.99

Its total energy is -3.773 eV/atom.